# 1
Density functional theory data (PBE) for an optimized crystal structure of Hf2RhF2.

Computed properties:
calculated total energy: -8.2172 eV/atom
volume: 71 Å³/f.u.
space-group type: I4/mmm
Fermi-level density of states: 0.37 states/eV per atom

Cell: 3.2958 3.2958 6.9275 Å, 76.24 76.24 90.00°
With the nearest neighbours (Å) after each atom.
Sites, in units of the cell vectors:
F (0.2500, 0.7500, 0.5000)  4 Hf 2.32, 4 F 2.33
F (0.7500, 0.2500, 0.5000)  4 Hf 2.32, 4 F 2.33
Hf (0.3756, 0.3756, 0.2487)  4 F 2.32
Hf (0.6244, 0.6244, 0.7513)  4 F 2.32
Rh (0.0000, 0.0000, 0.0000)  8 Hf 2.84

# 2
Density functional theory data (PBE) for an optimized crystal structure of Hf3RhF.

Computed properties:
calculated total energy: -8.3429 eV/atom
volume: 87 Å³/f.u.
space-group type: Pm-3m
Fermi-level density of states: 1.39 states/eV per atom

Cell: 4.4238 4.4238 4.4238 Å, 90.00 90.00 90.00°
With the nearest neighbours (Å) after each atom.
Sites, in units of the cell vectors:
Rh (0.5000, 0.5000, 0.5000)  12 Hf 3.13
Hf (0.0000, 0.5000, 0.0000)  2 F 2.21
Hf (0.0000, 0.0000, 0.5000)  2 F 2.21
Hf (0.5000, 0.0000, 0.0000)  2 F 2.21
F (0.0000, 0.0000, 0.0000)  6 Hf 2.21

# 3
Density functional theory data (PBE) for an optimized crystal structure of HfRhF3.

Computed properties:
calculated total energy: -6.3458 eV/atom
volume: 72 Å³/f.u.
space-group type: Pm-3m
Fermi-level density of states: 0.66 states/eV per atom

Cell: 4.1694 4.1694 4.1694 Å, 90.00 90.00 90.00°
With the nearest neighbours (Å) after each atom.
Sites, in units of the cell vectors:
F (0.0000, 0.0000, 0.5000)  2 Hf 2.08
F (0.0000, 0.5000, 0.0000)  2 Hf 2.08
F (0.5000, 0.0000, 0.0000)  2 Hf 2.08
Hf (0.0000, 0.0000, 0.0000)  6 F 2.08
Rh (0.5000, 0.5000, 0.5000)  12 F 2.95

# 4
Density functional theory data (PBE) for an optimized crystal structure of Hf2RhF2.

Computed properties:
calculated total energy: -7.4312 eV/atom
volume: 78 Å³/f.u.
space-group type: P4/mbm
Fermi-level density of states: 0.50 states/eV per atom

Cell: 7.3855 7.3855 2.8745 Å, 90.00 90.00 90.00°
With the nearest neighbours (Å) after each atom.
Sites, in units of the cell vectors:
Rh (0.5000, 0.5000, 0.0000)  4 Hf 2.63, 2 Rh 2.87
Rh (0.0000, 0.0000, 0.0000)  4 Hf 2.63, 2 Rh 2.87
F (0.3894, 0.1106, 0.5000)  2 Hf 2.25, 1 F 2.31
F (0.1106, 0.6106, 0.5000)  2 Hf 2.25, 1 F 2.31
F (0.8894, 0.3894, 0.5000)  2 Hf 2.25, 1 F 2.31
F (0.6106, 0.8894, 0.5000)  2 Hf 2.25, 1 F 2.31
Hf (0.7767, 0.7233, 0.0000)  2 F 2.25
Hf (0.2233, 0.2767, 0.0000)  2 F 2.25
Hf (0.7233, 0.2233, 0.0000)  2 F 2.25
Hf (0.2767, 0.7767, 0.0000)  2 F 2.25

# 5
Density functional theory data (PBE) for an optimized crystal structure of HfSn2RhF.

Computed properties:
calculated total energy: -5.5351 eV/atom
volume: 108 Å³/f.u.
space-group type: P4/mmm
Fermi-level density of states: 0.53 states/eV per atom

Cell: 5.2292 3.9662 5.2292 Å, 90.00 90.00 90.00°
With the nearest neighbours (Å) after each atom.
Sites, in units of the cell vectors:
F (0.0000, 0.5000, 0.0000)  2 Rh 1.98
Sn (0.5000, 0.0000, 0.0000)  2 Rh 2.61
Sn (0.0000, 0.0000, 0.5000)  2 Rh 2.61
Hf (0.5000, 0.5000, 0.5000)  8 Sn 3.28
Rh (0.0000, 0.0000, 0.0000)  2 F 1.98

Question: Look up the Fermi-level density of states of the fourth one.
Answer: 0.50 states/eV per atom

Question: Number 1 is which compound?
Answer: Hf2RhF2